Entry from OQMD via LeMat-Bulk: a relaxed structure of CoIrNO (PBE with a Hubbard U).

## Properties
Polymorph energy (0 for the lowest one), meV per atom: 588
Space-group type: P4/nmm

a b c (Å): 3.7485 3.7485 6.1246
angles (deg): 90.00 90.00 90.00
Last column: nearest neighbours and their distance in Å.
Fractional positions:
N 0.0000 0.5000 0.4983  4 Co 1.87, 1 Ir 1.88
O 0.0000 0.0000 0.0000  4 Ir 2.21
Co 0.5000 0.5000 0.5000  4 N 1.87
N 0.5000 0.0000 0.5017  4 Co 1.87, 1 Ir 1.88
O 0.5000 0.5000 0.0000  4 Ir 2.21
Ir 0.0000 0.5000 0.1907  1 N 1.88
Ir 0.5000 0.0000 0.8093  1 N 1.88
Co 0.0000 0.0000 0.5000  4 N 1.87